# 1
Computed, not measured: a geometry-optimized KTeH2Br8 structure at the PBE level of DFT.

Calculated values
The calculation puts the density of states at the Fermi level at 6.1 states/eV/cell. Its crystal system is triclinic. For the spin magnetization, the calculation gives 0.0 μB/f.u. The calculation puts the calculated total energy at -2.500 eV/atom.

Cell: 7.0788 7.4076 9.3618 Å, 87.25 78.85 71.00°
Fractional positions:
K  0.0000  0.0000  0.5000
Te  0.0000  0.0000  0.0000
H  0.2708  0.2489  0.6850
H  0.7292  0.7511  0.3150
Br  0.2463  0.7737  0.1683
Br  0.7300  0.8149  0.0756
Br  0.8087  0.2460  0.2216
Br  0.7537  0.2263  0.8317
Br  0.2700  0.1851  0.9244
Br  0.1913  0.7540  0.7784
Br  0.7095  0.7113  0.4719
Br  0.2905  0.2887  0.5281


# 2
Computed, not measured: a geometry-optimized KTlHBr structure at the PBE level of DFT.

Calculated values
The calculation puts the density of states at the Fermi level at 0.0 states/eV/cell. Its crystal system is cubic. For the spin magnetization, the calculation gives 0.0 μB/f.u. The calculation puts the calculated total energy at -2.585 eV/atom.

Cell: 5.3961 5.3961 5.3961 Å, 60.00 60.00 60.00°
Fractional positions:
H  0.7500  0.7500  0.7500
Tl  0.5000  0.5000  0.5000
K  0.0000  0.0000  0.0000
Br  0.2500  0.2500  0.2500


# 3
Computed, not measured: a geometry-optimized K2TlHBr6 structure at the PBE level of DFT.

Calculated values
Its crystal system is monoclinic. For the spin magnetization, the calculation gives 0.0 μB/f.u. The calculation puts the calculated total energy at -2.687 eV/atom.

Cell: 8.4774 6.4287 12.8503 Å, 90.00 102.34 90.00°
Fractional positions:
K  0.0288  0.1060  0.2071
K  0.4712  0.6060  0.2929
K  0.5288  0.3940  0.7071
K  0.9712  0.8940  0.7929
Tl  0.0000  0.5000  0.5000
Tl  0.5000  0.0000  0.0000
H  0.0000  0.5000  0.0000
H  0.5000  0.0000  0.5000
Br  0.9143  0.3709  0.6865
Br  0.8608  0.3003  0.9711
Br  0.7902  0.2515  0.3803
Br  0.7098  0.7515  0.1197
Br  0.6392  0.8003  0.5289
Br  0.5857  0.8709  0.8135
Br  0.4143  0.1291  0.1865
Br  0.3608  0.1997  0.4711
Br  0.2902  0.2485  0.8803
Br  0.1392  0.6997  0.0289
Br  0.2098  0.7485  0.6197
Br  0.0857  0.6291  0.3135


The lowest calculated total energy belongs to which entry?
K2TlHBr6